[1]
Below is an optimized crystal structure of Dy6Cd5Bi, with properties calculated at the PBE level.

Computed properties:
DOS(E_F) = 1.03 states/eV per atom
energy relative to the elements = -371 meV/atom
space group = Immm
size of the total moment = 0.0 μB per formula unit

Cell: 9.2390 9.2390 9.2390 Å, 146.34 132.69 59.31°
Element x y z (fractional)
Dy: 0.0806 0.3320 0.7486
Dy: 0.2463 0.0000 0.2463
Dy: 0.4167 0.6680 0.7486
Dy: 0.5833 0.3320 0.2514
Dy: 0.7537 0.0000 0.7537
Dy: 0.9194 0.6680 0.2514
Cd: 0.0000 0.5000 0.5000
Cd: 0.1669 0.1669 0.0000
Cd: 0.3260 0.8260 0.5000
Cd: 0.6740 0.1740 0.5000
Cd: 0.8331 0.8331 0.0000
Bi: 0.5000 0.5000 0.0000

[2]
Below is an optimized crystal structure of Pa2SbSe, with properties calculated at the PBE level.

Computed properties:
DOS(E_F) = 2.41 states/eV per atom
formation energy from raw total energies = -681 meV/atom
space group = Fm-3m
size of the total moment = 1.8 μB per formula unit
excess energy over the best structure of this formula in the dataset = 14.7 kJ/mol of atoms

Cell: 5.1523 5.1523 5.1523 Å, 60.00 60.00 60.00°
Element x y z (fractional)
Pa: 0.2500 0.2500 0.2500
Pa: 0.7500 0.7500 0.7500
Sb: 0.0000 0.0000 0.0000
Se: 0.5000 0.5000 0.5000

[3]
Below is an optimized crystal structure of Sm3Cu4Pd2, with properties calculated at the PBE level.

Computed properties:
DOS(E_F) = 0.56 states/eV per atom
energy relative to the elements = -450 meV/atom
space group = C2/m
size of the total moment = 0.0 μB per formula unit

Cell: 5.7271 5.7271 8.4909 Å, 109.07 109.07 43.80°
Element x y z (fractional)
Sm: 0.0000 0.0000 0.0000
Sm: 0.3304 0.3304 0.3372
Sm: 0.6696 0.6696 0.6628
Cu: 0.0474 0.0474 0.3899
Cu: 0.2752 0.2752 0.9497
Cu: 0.7248 0.7248 0.0503
Cu: 0.9526 0.9526 0.6101
Pd: 0.3893 0.3893 0.7287
Pd: 0.6107 0.6107 0.2713

[4]
Below is an optimized crystal structure of Zr3Si, with properties calculated at the PBE level.

Computed properties:
DOS(E_F) = 1.25 states/eV per atom
formation energy from raw total energies = -170 meV/atom
space group = P2/m
size of the total moment = 0.0 μB per formula unit

Cell: 3.1846 4.9040 5.4409 Å, 90.00 101.52 90.00°
Element x y z (fractional)
Zr: 0.0000 0.0000 0.0000
Zr: 0.3268 0.5000 0.7371
Zr: 0.6732 0.5000 0.2629
Si: 0.5000 0.0000 0.5000

[5]
Below is an optimized crystal structure of SmTh2Cu2Sn2, with properties calculated at the PBE level.

Computed properties:
DOS(E_F) = 0.93 states/eV per atom
energy relative to the elements = -262 meV/atom
space group = R-3m
size of the total moment = 0.0 μB per formula unit

Cell: 11.3416 11.3416 11.3416 Å, 22.21 22.21 22.21°
Element x y z (fractional)
Sm: 0.0000 0.0000 0.0000
Th: 0.1260 0.1260 0.1260
Th: 0.8740 0.8740 0.8740
Cu: 0.4073 0.4073 0.4073
Cu: 0.5927 0.5927 0.5927
Sn: 0.2731 0.2731 0.2731
Sn: 0.7269 0.7269 0.7269

[6]
Below is an optimized crystal structure of Pm6Sm3Y2In, with properties calculated at the PBE level.

Computed properties:
DOS(E_F) = 1.27 states/eV per atom
energy relative to the elements = -38 meV/atom
space group = C2/m
size of the total moment = 0.0 μB per formula unit

Cell: 6.2351 6.2351 11.8604 Å, 95.11 95.11 120.18°
Element x y z (fractional)
Pm: 0.0804 0.4066 0.2451
Pm: 0.2450 0.2450 0.7527
Pm: 0.4066 0.0804 0.2451
Pm: 0.5934 0.9196 0.7549
Pm: 0.7550 0.7550 0.2473
Pm: 0.9196 0.5934 0.7549
Sm: 0.1685 0.8315 0.5000
Sm: 0.5000 0.5000 0.5000
Sm: 0.8315 0.1685 0.5000
Y: 0.3340 0.6660 0.0000
Y: 0.6660 0.3340 0.0000
In: 0.0000 0.0000 0.0000

[7]
Below is an optimized crystal structure of FeReAsPb2, with properties calculated at the PBE level.

Computed properties:
DOS(E_F) = 1.12 states/eV per atom
energy relative to the elements = 1243 meV/atom
space group = P4/mmm
size of the total moment = 4.0 μB per formula unit

Cell: 5.1769 5.1769 4.3511 Å, 90.00 90.00 90.00°
Element x y z (fractional)
Fe: 0.0000 0.0000 0.0000
Re: 0.5000 0.5000 0.5000
As: 0.0000 0.0000 0.5000
Pb: 0.0000 0.5000 0.0000
Pb: 0.5000 0.0000 0.0000

[8]
Below is an optimized crystal structure of SrUCu10, with properties calculated at the PBE level.

Computed properties:
DOS(E_F) = 1.04 states/eV per atom
energy relative to the elements = 35 meV/atom
space group = Pmmm
size of the total moment = 3.1 μB per formula unit

Cell: 4.0428 5.2085 8.9080 Å, 90.00 90.00 90.00°
Element x y z (fractional)
Sr: 0.0000 0.0000 0.0000
U: 0.0000 0.5000 0.5000
Cu: 0.0000 0.0000 0.3407
Cu: 0.0000 0.0000 0.6593
Cu: 0.0000 0.5000 0.1740
Cu: 0.0000 0.5000 0.8260
Cu: 0.5000 0.0000 0.5000
Cu: 0.5000 0.2574 0.2613
Cu: 0.5000 0.2574 0.7387
Cu: 0.5000 0.5000 0.0000
Cu: 0.5000 0.7426 0.2613
Cu: 0.5000 0.7426 0.7387

[9]
Below is an optimized crystal structure of TcSb2As, with properties calculated at the PBE level.

Computed properties:
DOS(E_F) = 0.38 states/eV per atom
formation energy from raw total energies = 53 meV/atom
space group = P4mm
size of the total moment = 0.0 μB per formula unit
excess energy over the best structure of this formula in the dataset = 0.0 kJ/mol of atoms

Cell: 3.1901 3.1901 8.3589 Å, 90.00 90.00 90.00°
Element x y z (fractional)
Tc: 0.0000 0.0000 0.0000
Sb: 0.0000 0.0000 0.4445
Sb: 0.5000 0.5000 0.7882
As: 0.5000 0.5000 0.1595

[10]
Below is an optimized crystal structure of LiCo2Cu, with properties calculated at the PBE level.

Computed properties:
DOS(E_F) = 0.80 states/eV per atom
energy relative to the elements = 128 meV/atom
space group = R-3m
size of the total moment = 2.7 μB per formula unit

Cell: 8.7725 8.7725 8.7725 Å, 16.26 16.26 16.26°
Element x y z (fractional)
Li: 0.0000 0.0000 0.0000
Co: 0.2488 0.2488 0.2488
Co: 0.7512 0.7512 0.7512
Cu: 0.5000 0.5000 0.5000

Question: DOS(E_F) of number 7 (FeReAsPb2)?
Answer: 1.12 states/eV per atom

Question: size of the total moment of number 4 (Zr3Si)?
Answer: 0.0 μB per formula unit

Question: Which value of size of the total moment does entry 6 give?
Answer: 0.0 μB per formula unit